Below is crystalline NaAcTbTl at its relaxed geometry, with properties calculated at the PBE level.

The crystal system is cubic. The total energy is -0.1161 Ha/atom. Its formation energy is -0.053 eV per atom. For the spin magnetization, the calculation gives 0.0 μB per formula unit.

It has space group F-43m (No. 216), with a = 8.025 Å, b = 8.025 Å, c = 8.025 Å, α = 90.00°, β = 90.00° and γ = 90.00°. The inequivalent atoms are Na at (0.000, 0.000, 0.000), Ac at (0.250, 0.250, 0.250), Tb at (0.250, 0.250, 0.750) and Tl at (0.000, 0.000, 0.500).

Below is crystalline NaAc2Tc at its relaxed geometry, with properties calculated at the PBE level.

The crystal system is tetragonal. The total energy is -0.1761 Ha/atom. Its formation energy is 0.184 eV per atom. For the spin magnetization, the calculation gives 0.0 μB per formula unit.

It has space group P4/mmm (No. 123), with a = 3.712 Å, b = 3.712 Å, c = 9.783 Å, α = 90.00°, β = 90.00° and γ = 90.00°. The inequivalent atoms are Na at (0.000, 0.000, 0.000), Ac at (0.500, 0.500, 0.316) and Tc at (0.000, 0.000, 0.500).

Below is crystalline NaAcTe at its relaxed geometry, with properties calculated at the PBE level.

The crystal system is tetragonal. The calculation puts the offset from the most stable computed form at 0.044 eV/atom. The total energy is -0.1310 Ha/atom. Its energy relative to the elements, uncorrected is -707 meV/atom. For the spin magnetization, the calculation gives 0.0 μB per formula unit.

It has space group I4mm (No. 107), with a = 4.100 Å, b = 4.100 Å, c = 14.171 Å, α = 90.00°, β = 90.00° and γ = 90.00°. The inequivalent atoms are Na at (0.000, 0.000, 0.000), Ac at (0.000, 0.000, 0.279) and Te at (0.000, 0.000, 0.660).